No. 1
VASP calculation (GGA-PBE) on an optimized crystal structure of Hf2Cu2Hg.

Properties
- DFT formation energy: 0.145 eV/atom
- Energy above the most stable polymorph in this dataset: 290 meV/atom
- Final energy: -5.535 eV per atom

a = 7.9053 Å, b = 7.9053 Å, c = 3.0113 Å
α = 90.00°, β = 90.00°, γ = 90.00°
With the nearest neighbours (Å) after each atom.
Element x y z (fractional)
Cu: 0.8745 0.3745 0.5000  6 Hf 2.76-2.79, 3 Cu 2.81-3.01
Cu: 0.3745 0.1255 0.5000  6 Hf 2.76-2.79, 3 Cu 2.81-3.01
Cu: 0.6255 0.8745 0.5000  6 Hf 2.76-2.79, 3 Cu 2.81-3.01
Cu: 0.1255 0.6255 0.5000  6 Hf 2.76-2.79, 3 Cu 2.81-3.01
Hg: 0.5000 0.5000 0.0000  4 Hf 2.95, 2 Hg 3.01
Hg: 0.0000 0.0000 0.0000  4 Hf 2.95, 2 Hg 3.01
Hf: 0.6647 0.1647 0.0000  6 Cu 2.76-2.79, 2 Hg 2.95, 2 Hf 3.01
Hf: 0.8353 0.6647 0.0000  6 Cu 2.76-2.79, 2 Hg 2.95, 2 Hf 3.01
Hf: 0.1647 0.3353 0.0000  6 Cu 2.76-2.79, 2 Hg 2.95, 2 Hf 3.01
Hf: 0.3353 0.8353 0.0000  6 Cu 2.76-2.79, 2 Hg 2.95, 2 Hf 3.01

No. 2
VASP calculation (GGA-PBE) on an optimized crystal structure of CdGeAs2I.

Properties
- Formation energy (no corrections): 862 meV/atom
- Final energy: -2.414 eV per atom

a = 5.0961 Å, b = 5.7241 Å, c = 5.0961 Å
α = 90.00°, β = 90.00°, γ = 90.00°
With the nearest neighbours (Å) after each atom.
Element x y z (fractional)
Ge: 0.0000 0.5000 0.0000  2 Cd 2.86
As: 0.5000 0.0000 0.0000  2 Cd 2.55
As: 0.0000 0.0000 0.5000  2 Cd 2.55
Cd: 0.0000 0.0000 0.0000  4 As 2.55
I: 0.5000 0.5000 0.5000  4 Ge 3.60, 8 As 3.83

No. 3
VASP calculation (GGA-PBE) on an optimized crystal structure of ErPd3Pb.

Properties
- DFT formation energy: -0.651 eV/atom
- Final energy: -5.420 eV per atom

a = 4.6760 Å, b = 5.7553 Å, c = 7.5571 Å
α = 90.00°, β = 90.00°, γ = 90.00°
With the nearest neighbours (Å) after each atom.
Element x y z (fractional)
Pb: 0.2500 0.2500 0.5493  3 Pd 2.74-2.79
Pb: 0.7500 0.7500 0.4507  3 Pd 2.74-2.79
Pd: 0.2500 0.9882 0.2380  5 Pd 2.74-3.01, 1 Pb 2.79, 2 Er 2.90
Pd: 0.2500 0.5118 0.2380  5 Pd 2.74-3.01, 1 Pb 2.79, 2 Er 2.90
Pd: 0.7500 0.0118 0.7620  5 Pd 2.74-3.01, 1 Pb 2.79, 2 Er 2.90
Pd: 0.7500 0.7500 0.0886  1 Pb 2.74, 4 Er 2.87-2.90, 6 Pd 2.89-2.94
Pd: 0.2500 0.2500 0.9114  1 Pb 2.74, 4 Er 2.87-2.90, 6 Pd 2.89-2.94
Pd: 0.7500 0.4882 0.7620  5 Pd 2.74-3.01, 1 Pb 2.79, 2 Er 2.90
Er: 0.7500 0.2500 0.1306  10 Pd 2.87-3.10
Er: 0.2500 0.7500 0.8694  10 Pd 2.87-3.10

No. 4
VASP calculation (GGA-PBE) on an optimized crystal structure of BaTl2Si.

Properties
- Formation energy (no corrections): 65 meV/atom
- Energy above the most stable polymorph in this dataset: 181 meV/atom
- Final energy: -2.955 eV per atom

a = 5.2173 Å, b = 5.2173 Å, c = 10.8928 Å
α = 76.14°, β = 76.14°, γ = 90.00°
With the nearest neighbours (Å) after each atom.
Element x y z (fractional)
Ba: 0.7500 0.2500 0.5000  4 Tl 3.44, 4 Si 3.69
Ba: 0.0000 0.0000 0.0000  4 Tl 3.44, 4 Si 3.69
Si: 0.5000 0.5000 0.0000  4 Tl 2.96
Si: 0.2500 0.7500 0.5000  4 Tl 2.96
Tl: 0.8750 0.7638 0.7500  2 Si 2.96, 2 Tl 2.98
Tl: 0.3750 0.4862 0.7500  2 Si 2.96, 2 Tl 2.98
Tl: 0.5138 0.1250 0.2500  2 Si 2.96, 2 Tl 2.98
Tl: 0.2362 0.6250 0.2500  2 Si 2.96, 2 Tl 2.98

No. 5
VASP calculation (GGA-PBE) on an optimized crystal structure of Ho6Mn23.

Properties
- DFT formation energy: 0.018 eV/atom
- Final energy: -8.201 eV per atom

a = 8.4704 Å, b = 8.4704 Å, c = 8.4704 Å
α = 60.00°, β = 60.00°, γ = 60.00°
With the nearest neighbours (Å) after each atom.
Element x y z (fractional)
Ho: 0.2050 0.2050 0.7950  12 Mn 2.93-3.04
Ho: 0.7950 0.2050 0.7950  12 Mn 2.93-3.04
Ho: 0.7950 0.7950 0.2050  12 Mn 2.93-3.04
Ho: 0.2050 0.7950 0.2050  12 Mn 2.93-3.04
Ho: 0.2050 0.7950 0.7950  12 Mn 2.93-3.04
Ho: 0.7950 0.2050 0.2050  12 Mn 2.93-3.04
Mn: 0.6220 0.6220 0.1340  7 Mn 2.53-2.61
Mn: 0.8660 0.3780 0.3780  7 Mn 2.53-2.61
Mn: 0.4684 0.1772 0.1772  9 Mn 2.45-2.58
Mn: 0.8228 0.8228 0.8228  9 Mn 2.45-2.58
Mn: 0.8228 0.5316 0.8228  9 Mn 2.45-2.58
Mn: 0.0000 0.5000 0.0000  8 Mn 2.45-2.61
Mn: 0.3780 0.3780 0.8660  7 Mn 2.53-2.61
Mn: 0.3780 0.8660 0.3780  7 Mn 2.53-2.61
Mn: 0.1772 0.1772 0.1772  9 Mn 2.45-2.58
Mn: 0.6220 0.1340 0.6220  7 Mn 2.53-2.61
Mn: 0.1772 0.1772 0.4684  9 Mn 2.45-2.58
Mn: 0.5000 0.0000 0.5000  8 Mn 2.45-2.61
Mn: 0.8228 0.8228 0.5316  9 Mn 2.45-2.58
Mn: 0.0000 0.0000 0.5000  8 Mn 2.45-2.61
Mn: 0.5316 0.8228 0.8228  9 Mn 2.45-2.58
Mn: 0.3780 0.3780 0.3780  7 Mn 2.53-2.61
Mn: 0.5000 0.5000 0.5000  8 Mn 2.53
Mn: 0.1340 0.6220 0.6220  7 Mn 2.53-2.61
Mn: 0.1772 0.4684 0.1772  9 Mn 2.45-2.58
Mn: 0.0000 0.5000 0.5000  8 Mn 2.45-2.61
Mn: 0.5000 0.0000 0.0000  8 Mn 2.45-2.61
Mn: 0.6220 0.6220 0.6220  7 Mn 2.53-2.61
Mn: 0.5000 0.5000 0.0000  8 Mn 2.45-2.61

No. 6
VASP calculation (GGA-PBE) on an optimized crystal structure of LiYAgPb.

Properties
- DFT formation energy: -0.361 eV/atom
- Final energy: -4.096 eV per atom

a = 5.0674 Å, b = 5.0674 Å, c = 5.0674 Å
α = 60.00°, β = 60.00°, γ = 60.00°
With the nearest neighbours (Å) after each atom.
Element x y z (fractional)
Pb: 0.2500 0.2500 0.2500  4 Li 3.10, 4 Y 3.10
Y: 0.0000 0.0000 0.0000  4 Ag 3.10, 4 Pb 3.10
Ag: 0.7500 0.7500 0.7500  4 Li 3.10, 4 Y 3.10
Li: 0.5000 0.5000 0.5000  4 Pb 3.10, 4 Ag 3.10

No. 7
VASP calculation (GGA-PBE) on an optimized crystal structure of Cu2TcMo.

Properties
- DFT formation energy: 0.183 eV/atom
- Energy above the most stable polymorph in this dataset: 18 meV/atom
- Final energy: -7.164 eV per atom

a = 3.1490 Å, b = 3.1490 Å, c = 5.5901 Å
α = 90.00°, β = 90.00°, γ = 90.00°
With the nearest neighbours (Å) after each atom.
Element x y z (fractional)
Cu: 0.5000 0.5000 0.2276  4 Cu 2.51, 1 Tc 2.70, 4 Mo 2.72
Cu: 0.0000 0.0000 0.0218  4 Cu 2.51, 1 Mo 2.71, 4 Tc 2.71
Mo: 0.0000 0.0000 0.5062  4 Tc 2.59, 6 Cu 2.71-2.88
Tc: 0.5000 0.5000 0.7444  4 Mo 2.59, 6 Cu 2.70-2.89